Compound: SrTl3B4O12
Source: Alexandria
Functional: PBE
Structure: relaxed

POSCAR file:
```
SrTl3B4O12
1.0
5.127 2.960 2.862
-5.127 2.960 2.862
0.000 -5.920 2.862
Sr Tl B O
1 3 4 12
Cartesian
0.000 0.000 0.000 Sr
-2.740 -1.175 2.862 Tl
2.387 -1.785 2.862 Tl
0.352 2.960 2.862 Tl
-2.351 -4.072 4.293 B
0.000 0.000 4.293 B
-2.351 4.072 4.293 B
4.702 0.000 4.293 B
-3.104 -2.929 4.167 O
-4.154 0.000 4.293 O
-0.984 -4.153 4.419 O
-1.379 0.000 4.293 O
-3.104 2.929 4.419 O
2.077 -3.597 4.293 O
0.689 -1.194 4.293 O
-0.984 4.153 4.167 O
0.689 1.194 4.293 O
4.088 -1.224 4.167 O
2.077 3.597 4.293 O
4.088 1.224 4.419 O
```

Output
Its space group is R32. The value obtained for the total energy is -6.502 eV/atom. As for the theoretical density: 5.97 g cm⁻³.

=====

Compound: HgH2I2O
Source: Alexandria
Functional: PBE
Structure: relaxed

POSCAR file:
```
HgH2I2O
1.0
4.595 -5.334 0.000
4.595 5.334 0.000
0.000 0.000 8.648
Hg H I O
2 4 4 2
Cartesian
4.595 3.958 4.324 Hg
4.595 -3.958 0.000 Hg
3.819 3.719 1.135 H
5.371 3.719 1.135 H
3.819 -3.719 5.459 H
5.371 -3.719 5.459 H
2.638 1.450 0.021 I
2.638 -1.450 4.345 I
6.552 1.450 0.021 I
6.552 -1.450 4.345 I
4.595 4.249 1.423 O
4.595 -4.249 5.747 O
```

Output
Its space group is Cmc2_1. The value obtained for the total energy is -3.117 eV/atom. As for the theoretical density: 3.70 g cm⁻³.

=====

Compound: Ac2GeSb3Ir4
Source: Alexandria
Functional: PBE
Structure: relaxed

POSCAR file:
```
Ac2GeSb3Ir4
1.0
4.552 0.000 0.000
0.000 4.552 0.000
0.000 0.000 10.701
Ac Ge Sb Ir
2 1 3 4
Cartesian
0.000 2.276 2.612 Ac
2.276 0.000 8.088 Ac
2.276 2.276 0.000 Ge
0.000 0.000 0.000 Sb
0.000 2.276 6.791 Sb
2.276 0.000 3.910 Sb
0.000 0.000 5.350 Ir
0.000 2.276 9.428 Ir
2.276 0.000 1.272 Ir
2.276 2.276 5.350 Ir
```

Output
Its space group is P-4m2. The value obtained for the total energy is -6.716 eV/atom. As for the theoretical density: 12.44 g cm⁻³.